# GGA-PBE Pm5Ga2Sn, optimized geometry
data_Pm5Ga2Sn
_chemical_formula_sum 'Pm10 Ga4 Sn2'
_cell_length_a 8.0425
_cell_length_b 8.0425
_cell_length_c 9.1079
_cell_angle_alpha 116.20
_cell_angle_beta 116.20
_cell_angle_gamma 90.00
_symmetry_space_group_name_H-M 'P 1'
_symmetry_Int_Tables_number 1
loop_
_symmetry_equiv_pos_as_xyz
'x,y,z'
loop_
_atom_site_label
_atom_site_fract_x
_atom_site_fract_y
_atom_site_fract_z
Pm1 0.5225 0.6868 0.7093
Pm2 0.8132 0.9775 0.2907
Pm3 0.0000 0.0000 0.0000
Pm4 0.5000 0.5000 0.0000
Pm5 0.1868 0.0225 0.7093
Pm6 0.6868 0.1868 0.7093
Pm7 0.0225 0.5225 0.7093
Pm8 0.3132 0.8132 0.2907
Pm9 0.9775 0.4775 0.2907
Pm10 0.4775 0.3132 0.2907
Ga1 0.1233 0.3767 0.0000
Ga2 0.6233 0.1233 0.0000
Ga3 0.3767 0.8767 0.0000
Ga4 0.8767 0.6233 0.0000
Sn1 0.7500 0.7500 0.5000
Sn2 0.2500 0.2500 0.5000
# DOS at the Fermi energy ... 17.18 states/eV/cell
# ΔE_f ... -0.55 eV per atom